Entry 1:
Compound: KVCl3
Source: the Alexandria database
Functional: PBE-GGA
Structure: optimized geometry

Cell lengths 5.811, 7.063, 7.063 Å; angles 120.00, 90.00, 90.00 degrees
Last column: magnetic moment on the atom in μB.
Atoms (fractional coordinates):
K 0.750 0.333 0.667  0.00
K 0.250 0.667 0.333  0.00
Cl 0.250 0.162 0.838  0.00
Cl 0.750 0.838 0.676  0.00
Cl 0.750 0.324 0.162  0.00
Cl 0.250 0.676 0.838  0.00
Cl 0.750 0.838 0.162  0.00
Cl 0.250 0.162 0.324  0.00
V 0.500 0.000 0.000  2.10
V 0.000 0.000 0.000  2.10

Properties
- Formation energy without anion corrections: -1464 meV/atom
- SG: P6_3/mmc, No. 194
- M_tot: 2.42 μB per formula unit
- Total energy: -0.170 Ha/atom

Entry 2:
Compound: HoEr2ScS4
Source: the Alexandria database
Functional: PBE-GGA
Structure: optimized geometry

Cell lengths 3.804, 6.648, 6.655 Å; angles 109.15, 90.00, 90.00 degrees
Atoms (fractional coordinates):
Ho 0.500 0.500 0.000
Er 0.500 0.000 0.500
Er 0.000 0.500 0.500
Sc 0.000 0.000 0.000
S 0.500 0.242 0.243
S 0.500 0.758 0.757
S 0.000 0.245 0.753
S 0.000 0.755 0.247

Properties
- Formation energy without anion corrections: -1927 meV/atom
- SG: P2/m, No. 10
- M_tot: 0.00 μB per formula unit
- Total energy: -0.239 Ha/atom